VASP calculation (PBE) on a geometry-optimized PmPuCBr structure.

Computed properties:
- Space group: R3m, No. 160
- Formation energy from raw total energies: -713 meV/atom
- Spin magnetization: 5.602 Bohr magnetons per cell
- Density of states at the Fermi level: 7.08 states/eV/f.u.
- Crystal system: trigonal

The structure in extended XYZ format:
```
4
Lattice="1.843 1.064 7.499 -1.843 1.064 7.499 0.000 -2.128 7.499" Properties=species:S:1:pos:R:3 pbc="T T T"
Pm 0.000 0.000 0.000
Pu 0.000 0.000 17.745
C 0.000 0.000 8.938
Br 0.000 0.000 5.146
```